w) A relaxed Li10CoNi9O20 crystal, computed with GGA+U.

Cell lengths 2.926, 11.135, 11.721 Å; angles 114.10, 89.99, 97.41 degrees
Site moments in Bohr magnetons follow the coordinates.
Element x y z (fractional)
Ni 0.820 0.600 0.599  1.08
O 0.865 0.806 0.921  0.15
Ni 0.201 0.401 0.898  1.14
O 0.039 0.210 0.322  -0.03
Ni 0.415 0.799 0.799  1.07
Li 0.990 0.000 0.250  0.01
O 0.126 0.195 0.079  0.16
Li 0.016 0.999 0.749  0.01
Li 0.217 0.400 0.651  0.01
Li 0.599 0.202 0.949  0.00
Ni 0.796 0.601 0.100  1.09
Li 0.786 0.601 0.351  0.01
O 0.247 0.592 0.980  -0.03
O 0.957 0.789 0.678  -0.03
O 0.484 0.990 0.877  0.19
Ni 0.176 0.399 0.401  1.08
Ni 0.393 0.800 0.300  -1.07
O 0.133 0.208 0.814  -0.04
Co 0.625 0.200 0.700  -0.04
Li 0.807 0.600 0.850  0.01
O 0.265 0.590 0.477  -0.04
O 0.514 0.011 0.123  0.18
O 0.371 0.609 0.720  -0.03
O 0.551 0.009 0.622  -0.02
O 0.744 0.391 0.778  -0.03
Li 0.584 0.199 0.451  0.00
O 0.441 0.992 0.381  0.03
O 0.629 0.390 0.280  -0.03
O 0.939 0.792 0.179  -0.06
O 0.659 0.410 0.020  -0.03
Ni 0.995 0.999 0.502  1.14
O 0.728 0.409 0.522  -0.04
Li 0.406 0.801 0.550  0.00
O 0.345 0.610 0.221  0.03
Ni 0.998 0.000 0.000  2.09
Li 0.195 0.400 0.148  0.01
O 0.125 0.192 0.587  -0.03
Ni 0.580 0.202 0.200  1.09
Li 0.393 0.798 0.049  0.00
O 0.849 0.808 0.420  -0.05

Output
Its symmetry is P1, No. 1. As for the crystal system: triclinic.

---

x) A relaxed Li10CoNi9O20 crystal, computed with GGA+U.

Cell lengths 21.484, 2.811, 5.755 Å; angles 90.00, 82.23, 90.00 degrees
Site moments in Bohr magnetons follow the coordinates.
Element x y z (fractional)
Ni 0.097 0.500 0.202  1.17
O 0.299 0.000 0.373  -0.04
O 0.500 0.000 0.775  -0.03
O 0.909 0.000 0.023  -0.11
O 0.198 0.500 0.626  -0.04
O 0.999 0.500 0.227  0.05
Li 0.800 0.000 0.102  0.00
Li 0.299 0.500 0.099  0.00
O 0.001 0.500 0.773  0.05
O 0.400 0.500 0.574  -0.03
Li 0.000 0.000 0.500  0.01
Ni 0.903 0.500 0.798  1.17
Li 0.200 0.000 0.898  0.00
Ni 0.399 0.000 0.799  1.06
Ni 0.500 0.500 0.000  1.06
Co 0.000 0.000 0.000  -0.14
O 0.500 0.000 0.225  -0.03
O 0.701 0.000 0.627  -0.04
Li 0.500 0.500 0.500  0.00
Li 0.701 0.500 0.901  0.00
Ni 0.701 0.500 0.402  1.07
Li 0.399 0.000 0.299  0.00
Li 0.903 0.500 0.304  0.01
O 0.600 0.500 0.426  -0.03
O 0.399 0.500 0.024  -0.03
O 0.701 0.000 0.177  -0.03
Li 0.097 0.500 0.696  0.01
Li 0.601 0.000 0.701  0.00
O 0.299 0.000 0.823  -0.03
O 0.198 0.500 0.169  -0.05
O 0.802 0.500 0.831  -0.05
Ni 0.299 0.500 0.598  1.07
O 0.802 0.500 0.374  -0.04
Ni 0.198 0.000 0.398  1.15
Ni 0.802 0.000 0.602  1.15
Ni 0.601 0.000 0.201  1.06
O 0.601 0.500 0.976  -0.03
O 0.099 0.000 0.426  -0.04
O 0.901 0.000 0.574  -0.04
O 0.091 0.000 0.977  -0.11

Output
Its symmetry is P2/m, No. 10. As for the crystal system: monoclinic.

---

Energy relative to the most stable one, in eV/atom: w) 0.011; x) 0.000

---

w) A relaxed Li4Co3NiO8 crystal, computed with GGA+U.

Cell lengths 5.760, 5.770, 9.951 Å; angles 106.73, 90.52, 60.35 degrees
Site moments in Bohr magnetons follow the coordinates.
Element x y z (fractional)
O 0.835 0.784 0.880  0.00
O 0.154 0.221 0.124  0.03
O 0.133 0.223 0.623  -0.01
Co 0.492 0.005 0.002  1.10
Co 0.006 0.996 0.499  -0.07
O 0.873 0.775 0.376  -0.01
Li 0.753 0.497 0.749  0.01
O 0.621 0.221 0.123  0.03
Li 0.010 0.497 0.497  0.00
O 0.354 0.778 0.377  -0.03
Co 0.751 0.999 0.250  -0.04
Li 0.489 0.504 0.003  0.00
Li 0.748 0.505 0.256  0.00
O 0.367 0.232 0.879  0.01
Co 0.250 0.001 0.750  -0.05
O 0.108 0.779 0.138  0.01
Li 0.504 0.498 0.498  0.00
O 0.889 0.219 0.861  0.00
Li 0.995 0.504 0.002  0.00
Ni 0.503 0.999 0.499  1.54
O 0.894 0.217 0.369  0.00
O 0.609 0.784 0.637  -0.04
Co 0.750 0.000 0.749  1.89
Co 0.250 0.000 0.251  -0.03
O 0.606 0.782 0.130  -0.04
O 0.657 0.217 0.620  -0.05
O 0.394 0.218 0.365  -0.05
O 0.132 0.769 0.624  0.04
Ni 0.997 0.000 0.001  1.71
Li 0.248 0.503 0.251  0.01
Li 0.256 0.495 0.743  0.00
O 0.373 0.780 0.878  0.03

Output
Its symmetry is P1, No. 1. As for the crystal system: triclinic.

---

x) A relaxed Li4Co3NiO8 crystal, computed with GGA+U.

Cell lengths 5.771, 5.771, 5.771 Å; angles 59.34, 59.34, 59.34 degrees
Site moments in Bohr magnetons follow the coordinates.
Element x y z (fractional)
Co 0.500 0.000 0.500  -0.06
O 0.755 0.270 0.755  -0.04
O 0.739 0.739 0.739  0.01
O 0.730 0.245 0.245  -0.04
Li 0.500 0.500 0.500  0.01
Li 0.000 0.500 0.000  0.00
O 0.245 0.730 0.245  -0.04
Li 0.000 0.000 0.500  0.00
O 0.261 0.261 0.261  0.01
O 0.755 0.755 0.270  -0.04
O 0.245 0.245 0.730  -0.04
Li 0.500 0.000 0.000  0.00
Ni 0.000 0.000 0.000  1.46
Co 0.500 0.500 0.000  -0.06
O 0.270 0.755 0.755  -0.04
Co 0.000 0.500 0.500  -0.06

Output
Its symmetry is R-3m, No. 166. As for the crystal system: trigonal.

---

Energy relative to the most stable one, in eV/atom: w) 0.013; x) 0.000